The following is a GGA-PBE calculation of LaTc2Te after structural relaxation, from the Alexandria database.

Cell and atoms, written as POSCAR:
```
LaTc2Te
1.0
5.719 -0.007 0.000
2.879 4.941 0.000
-4.299 -2.467 2.853
La Tc Te
1 2 1
Cartesian
2.859 -0.004 1.426 La
0.000 0.000 0.000 Tc
1.439 2.471 1.426 Tc
4.299 2.467 0.000 Te
```

Summary:
The distance to the lowest polymorph of the same formula comes out at 581 meV per atom. The formation energy (no corrections) is 330 meV/atom. As for the crystal system: tetragonal. For the volume, the calculation gives 80.7 Å³ per cell. As for the calculated density: 9.5 g/cm³.

The following is a GGA-PBE calculation of Na3ErU2S6 after structural relaxation, from the Alexandria database.

Cell and atoms, written as POSCAR:
```
Na3ErU2S6
1.0
-3.616 -3.816 -4.406
6.855 -0.219 -0.096
-1.178 -3.707 5.956
Na Er U S
3 1 2 6
Cartesian
4.527 -2.670 2.166 Na
-2.466 -5.072 -0.712 Na
1.030 -3.871 0.727 Na
0.000 0.000 0.000 Er
3.366 -1.418 -1.532 U
-0.127 -2.617 -2.970 U
-0.185 -6.511 0.464 S
2.145 -3.856 -1.991 S
2.246 -1.231 0.990 S
3.280 -5.321 1.891 S
-0.084 -3.885 3.446 S
-1.219 -2.421 -0.437 S
```

Summary:
The formation energy (no corrections) is -1498 meV/atom. As for the crystal system: monoclinic. For the volume, the calculation gives 274.5 Å³ per cell. As for the calculated density: 5.5 g/cm³.

The following is a GGA-PBE calculation of Ce3As2Rh7 after structural relaxation, from the Alexandria database.

Cell and atoms, written as POSCAR:
```
Ce3As2Rh7
1.0
-0.776 3.952 0.094
-3.950 -0.767 -0.351
0.825 -0.179 14.364
Ce As Rh
3 2 7
Cartesian
-2.363 1.592 -0.128 Ce
-2.825 1.366 5.573 Ce
-1.076 1.639 8.535 Ce
-2.931 -0.851 11.616 As
-0.194 -0.095 2.397 As
-0.846 -0.414 10.440 Rh
-2.642 -0.710 8.053 Rh
0.000 0.000 0.000 Rh
-2.279 -0.532 3.574 Rh
-0.693 1.827 3.807 Rh
-3.208 1.179 10.300 Rh
-0.483 -0.236 5.961 Rh
```

Summary:
The distance to the lowest polymorph of the same formula comes out at 92 meV per atom. As for the crystal system: orthorhombic. For the volume, the calculation gives 231.8 Å³ per cell. The formation energy from the elements is -0.68 eV per atom. As for the calculated density: 9.2 g/cm³.